Run 1
KHCl2 after structural relaxation. Source: Alexandria via LeMat-Bulk, functional PBE. Values from VASP.

Calculated values
SG ... P6_3/mmc, No. 194

Quantum ESPRESSO input file:
```
&SYSTEM
  ibrav = 0, nat = 8, ntyp = 3
/
ATOMIC_SPECIES
K 39.10 K.upf
H 1.01 H.upf
Cl 35.45 Cl.upf
CELL_PARAMETERS angstrom
4.919 0.000 0.000
-2.459 4.260 0.000
0.000 0.000 12.056
ATOMIC_POSITIONS angstrom
K 0.000 0.000 0.000
K 0.000 0.000 6.028
H 0.000 2.840 3.014
H 2.459 1.420 9.042
Cl 0.000 2.840 1.457
Cl 0.000 2.840 4.571
Cl 2.459 1.420 7.485
Cl 2.459 1.420 10.599
```

=====

Run 2
KHCl2 after structural relaxation. Source: Alexandria via LeMat-Bulk, functional PBE. Values from VASP.

Calculated values
SG ... Fm-3m, No. 225

Quantum ESPRESSO input file:
```
&SYSTEM
  ibrav = 0, nat = 4, ntyp = 3
/
ATOMIC_SPECIES
K 39.10 K.upf
H 1.01 H.upf
Cl 35.45 Cl.upf
CELL_PARAMETERS angstrom
0.000 3.567 3.567
3.567 0.000 3.567
3.567 3.567 0.000
ATOMIC_POSITIONS angstrom
K 0.000 0.000 0.000
H 3.567 3.567 3.567
Cl 1.784 1.784 1.784
Cl 5.351 5.351 5.351
```

=====

Most stable of them? run 1.

=====

Run 1
KHCl2 after structural relaxation. Source: Alexandria via LeMat-Bulk, functional PBE. Values from VASP.

Calculated values
SG ... I-42d, No. 122

Quantum ESPRESSO input file:
```
&SYSTEM
  ibrav = 0, nat = 8, ntyp = 3
/
ATOMIC_SPECIES
K 39.10 K.upf
H 1.01 H.upf
Cl 35.45 Cl.upf
CELL_PARAMETERS angstrom
-3.219 3.219 4.093
3.219 -3.219 4.093
3.219 3.219 -4.093
ATOMIC_POSITIONS angstrom
K 0.000 0.000 0.000
K 0.000 3.219 2.047
H 3.219 0.000 2.047
H 0.000 0.000 4.093
Cl 1.609 2.500 -1.023
Cl 3.937 1.609 1.023
Cl 1.609 0.719 3.070
Cl -0.719 1.609 5.117
```

=====

Run 2
KHCl2 after structural relaxation. Source: Alexandria via LeMat-Bulk, functional PBE. Values from VASP.

Calculated values
SG ... R-3m, No. 166

Quantum ESPRESSO input file:
```
&SYSTEM
  ibrav = 0, nat = 4, ntyp = 3
/
ATOMIC_SPECIES
K 39.10 K.upf
H 1.01 H.upf
Cl 35.45 Cl.upf
CELL_PARAMETERS angstrom
1.876 1.083 8.012
-1.876 1.083 8.012
0.000 -2.166 8.012
ATOMIC_POSITIONS angstrom
K 0.000 0.000 0.000
H 0.000 0.000 12.018
Cl 0.000 0.000 2.774
Cl 0.000 0.000 21.263
```

=====

Most stable of them? run 1.

=====

Run 1
K2H2Cl after structural relaxation. Source: Alexandria via LeMat-Bulk, functional PBE. Values from VASP.

Calculated values
SG ... P4/mbm, No. 127

Quantum ESPRESSO input file:
```
&SYSTEM
  ibrav = 0, nat = 10, ntyp = 3
/
ATOMIC_SPECIES
K 39.10 K.upf
H 1.01 H.upf
Cl 35.45 Cl.upf
CELL_PARAMETERS angstrom
7.908 0.000 0.000
0.000 7.908 0.000
0.000 0.000 3.725
ATOMIC_POSITIONS angstrom
K 1.546 2.408 0.000
K 2.408 6.362 0.000
K 5.500 1.546 0.000
K 6.362 5.500 0.000
H 0.306 4.261 1.862
H 3.648 0.306 1.862
H 4.261 7.602 1.862
H 7.602 3.648 1.862
Cl 0.000 0.000 1.862
Cl 3.954 3.954 1.862
```

=====

Run 2
K2H2Cl after structural relaxation. Source: Alexandria via LeMat-Bulk, functional PBE. Values from VASP.

Calculated values
SG ... I4/mmm, No. 139

Quantum ESPRESSO input file:
```
&SYSTEM
  ibrav = 0, nat = 5, ntyp = 3
/
ATOMIC_SPECIES
K 39.10 K.upf
H 1.01 H.upf
Cl 35.45 Cl.upf
CELL_PARAMETERS angstrom
-1.909 1.909 7.531
1.909 -1.909 7.531
1.909 1.909 -7.531
ATOMIC_POSITIONS angstrom
K 0.000 0.000 1.843
K 0.000 0.000 13.218
H 1.909 0.000 3.765
H 0.000 1.909 3.765
Cl 0.000 0.000 7.531
```

=====

Most stable of them? run 1.

=====

Run 1
K2HCl after structural relaxation. Source: Alexandria via LeMat-Bulk, functional PBE. Values from VASP.

Calculated values
SG ... R-3m, No. 166

Quantum ESPRESSO input file:
```
&SYSTEM
  ibrav = 0, nat = 4, ntyp = 3
/
ATOMIC_SPECIES
K 39.10 K.upf
H 1.01 H.upf
Cl 35.45 Cl.upf
CELL_PARAMETERS angstrom
2.139 1.235 7.036
-2.139 1.235 7.036
0.000 -2.470 7.036
ATOMIC_POSITIONS angstrom
K 0.000 0.000 5.116
K 0.000 0.000 15.993
H 0.000 0.000 10.554
Cl 0.000 0.000 0.000
```

=====

Run 2
K2HCl after structural relaxation. Source: Alexandria via LeMat-Bulk, functional PBE. Values from VASP.

Calculated values
SG ... P4/mmm, No. 123

Quantum ESPRESSO input file:
```
&SYSTEM
  ibrav = 0, nat = 4, ntyp = 3
/
ATOMIC_SPECIES
K 39.10 K.upf
H 1.01 H.upf
Cl 35.45 Cl.upf
CELL_PARAMETERS angstrom
3.662 0.000 0.000
0.000 3.662 0.000
0.000 0.000 7.311
ATOMIC_POSITIONS angstrom
K 0.000 0.000 1.719
K 0.000 0.000 5.592
H 1.831 1.831 0.000
Cl 1.831 1.831 3.655
```

=====

Run 3
K2HCl after structural relaxation. Source: Alexandria via LeMat-Bulk, functional PBE. Values from VASP.

Calculated values
SG ... I-42d, No. 122

Quantum ESPRESSO input file:
```
&SYSTEM
  ibrav = 0, nat = 8, ntyp = 3
/
ATOMIC_SPECIES
K 39.10 K.upf
H 1.01 H.upf
Cl 35.45 Cl.upf
CELL_PARAMETERS angstrom
-3.724 3.724 4.450
3.724 -3.724 4.450
3.724 3.724 -4.450
ATOMIC_POSITIONS angstrom
K 1.862 1.531 -1.113
K 2.192 -1.862 5.563
K 1.862 2.192 3.338
K 1.531 5.585 1.113
H 0.000 0.000 0.000
H 0.000 3.724 2.225
Cl 3.724 0.000 2.225
Cl 0.000 0.000 4.450
```

=====

Run 4
K2HCl after structural relaxation. Source: Alexandria via LeMat-Bulk, functional PBE. Values from VASP.

Calculated values
SG ... R3m, No. 160

Quantum ESPRESSO input file:
```
&SYSTEM
  ibrav = 0, nat = 4, ntyp = 3
/
ATOMIC_SPECIES
K 39.10 K.upf
H 1.01 H.upf
Cl 35.45 Cl.upf
CELL_PARAMETERS angstrom
2.098 1.211 7.298
-2.098 1.211 7.298
0.000 -2.422 7.298
ATOMIC_POSITIONS angstrom
K 0.000 0.000 0.000
K 0.000 0.000 4.001
H 0.000 0.000 12.973
Cl 0.000 0.000 9.282
```

=====

Most stable of them? run 1.

=====

Run 1
KH2Cl3 after structural relaxation. Source: Alexandria via LeMat-Bulk, functional PBE. Values from VASP.

Calculated values
SG ... C2/c, No. 15

Quantum ESPRESSO input file:
```
&SYSTEM
  ibrav = 0, nat = 12, ntyp = 3
/
ATOMIC_SPECIES
K 39.10 K.upf
H 1.01 H.upf
Cl 35.45 Cl.upf
CELL_PARAMETERS angstrom
5.378 -3.983 0.000
5.378 3.983 0.000
-2.542 0.000 6.786
ATOMIC_POSITIONS angstrom
K 3.472 2.044 5.090
K 4.743 -2.044 1.697
H 3.424 1.537 1.928
H 6.062 1.537 1.465
H 2.153 -1.537 5.321
H 4.790 -1.537 4.858
Cl 4.743 2.773 1.697
Cl 2.476 0.581 2.279
Cl 1.205 -0.581 5.672
Cl 7.010 0.581 1.114
Cl 5.739 -0.581 4.507
Cl 3.472 -2.773 5.090
```

=====

Run 2
KH2Cl3 after structural relaxation. Source: Alexandria via LeMat-Bulk, functional PBE. Values from VASP.

Calculated values
SG ... C2/m, No. 12

Quantum ESPRESSO input file:
```
&SYSTEM
  ibrav = 0, nat = 12, ntyp = 3
/
ATOMIC_SPECIES
K 39.10 K.upf
H 1.01 H.upf
Cl 35.45 Cl.upf
CELL_PARAMETERS angstrom
10.883 -2.494 0.000
10.883 2.494 0.000
-0.478 0.000 6.268
ATOMIC_POSITIONS angstrom
K 4.009 0.000 1.530
K 17.280 0.000 4.737
H 2.691 0.000 4.912
H 8.951 0.000 2.825
H 12.337 0.000 3.443
H 18.598 0.000 1.355
Cl 1.359 0.000 5.245
Cl 4.544 0.000 4.648
Cl 8.815 0.000 4.111
Cl 12.474 0.000 2.157
Cl 16.744 0.000 1.620
Cl 19.930 0.000 1.022
```

=====

Most stable of them? run 1.

=====

Run 1
KP2HCl after structural relaxation. Source: Alexandria via LeMat-Bulk, functional PBE. Values from VASP.

Calculated values
SG ... P4/mmm, No. 123

Quantum ESPRESSO input file:
```
&SYSTEM
  ibrav = 0, nat = 5, ntyp = 4
/
ATOMIC_SPECIES
K 39.10 K.upf
P 30.97 P.upf
H 1.01 H.upf
Cl 35.45 Cl.upf
CELL_PARAMETERS angstrom
3.871 0.000 0.000
0.000 3.871 0.000
0.000 0.000 7.792
ATOMIC_POSITIONS angstrom
K 0.000 0.000 0.000
P 0.000 1.936 3.896
P 1.936 0.000 3.896
H 1.936 1.936 3.896
Cl 1.936 1.936 0.000
```

=====

Run 2
KP2HCl after structural relaxation. Source: Alexandria via LeMat-Bulk, functional PBE. Values from VASP.

Calculated values
SG ... P4/mmm, No. 123

Quantum ESPRESSO input file:
```
&SYSTEM
  ibrav = 0, nat = 5, ntyp = 4
/
ATOMIC_SPECIES
K 39.10 K.upf
P 30.97 P.upf
H 1.01 H.upf
Cl 35.45 Cl.upf
CELL_PARAMETERS angstrom
7.571 0.000 0.000
0.000 7.571 0.000
0.000 0.000 5.751
ATOMIC_POSITIONS angstrom
K 0.000 0.000 0.000
P 0.000 3.786 0.000
P 3.786 0.000 0.000
H 3.786 3.786 2.876
Cl 0.000 0.000 2.876
```

=====

Most stable of them? run 1.

=====

Run 1
KHSCl2 after structural relaxation. Source: Alexandria via LeMat-Bulk, functional PBE. Values from VASP.

Calculated values
SG ... P4/mmm, No. 123

Quantum ESPRESSO input file:
```
&SYSTEM
  ibrav = 0, nat = 5, ntyp = 4
/
ATOMIC_SPECIES
K 39.10 K.upf
H 1.01 H.upf
S 32.06 S.upf
Cl 35.45 Cl.upf
CELL_PARAMETERS angstrom
5.481 0.000 0.000
0.000 5.481 0.000
0.000 0.000 3.379
ATOMIC_POSITIONS angstrom
K 0.000 0.000 0.000
H 2.740 2.740 1.689
S 2.740 2.740 0.000
Cl 0.000 2.740 1.689
Cl 2.740 0.000 1.689
```

=====

Run 2
KHSCl2 after structural relaxation. Source: Alexandria via LeMat-Bulk, functional PBE. Values from VASP.

Calculated values
SG ... P4/mmm, No. 123

Quantum ESPRESSO input file:
```
&SYSTEM
  ibrav = 0, nat = 5, ntyp = 4
/
ATOMIC_SPECIES
K 39.10 K.upf
H 1.01 H.upf
S 32.06 S.upf
Cl 35.45 Cl.upf
CELL_PARAMETERS angstrom
6.052 0.000 0.000
0.000 6.052 0.000
0.000 0.000 6.667
ATOMIC_POSITIONS angstrom
K 0.000 0.000 0.000
H 3.026 3.026 3.333
S 0.000 0.000 3.333
Cl 0.000 3.026 0.000
Cl 3.026 0.000 0.000
```

=====

Most stable of them? run 1.

=====

Run 1
KSrHCl2 after structural relaxation. Source: Alexandria via LeMat-Bulk, functional PBE. Values from VASP.

Calculated values
SG ... P4/mmm, No. 123

Quantum ESPRESSO input file:
```
&SYSTEM
  ibrav = 0, nat = 5, ntyp = 4
/
ATOMIC_SPECIES
K 39.10 K.upf
Sr 87.62 Sr.upf
H 1.01 H.upf
Cl 35.45 Cl.upf
CELL_PARAMETERS angstrom
5.739 0.000 0.000
0.000 5.739 0.000
0.000 0.000 4.649
ATOMIC_POSITIONS angstrom
K 0.000 0.000 0.000
Sr 2.869 2.869 2.325
H 2.869 2.869 0.000
Cl 0.000 2.869 2.325
Cl 2.869 0.000 2.325
```

=====

Run 2
KSrHCl2 after structural relaxation. Source: Alexandria via LeMat-Bulk, functional PBE. Values from VASP.

Calculated values
SG ... P4/mmm, No. 123

Quantum ESPRESSO input file:
```
&SYSTEM
  ibrav = 0, nat = 5, ntyp = 4
/
ATOMIC_SPECIES
K 39.10 K.upf
Sr 87.62 Sr.upf
H 1.01 H.upf
Cl 35.45 Cl.upf
CELL_PARAMETERS angstrom
5.529 0.000 0.000
0.000 5.529 0.000
0.000 0.000 4.700
ATOMIC_POSITIONS angstrom
K 0.000 0.000 0.000
Sr 2.765 2.765 2.350
H 0.000 0.000 2.350
Cl 0.000 2.765 0.000
Cl 2.765 0.000 0.000
```

=====

Most stable of them? run 1.

=====

Run 1
LaHSCl2 after structural relaxation. Source: Alexandria via LeMat-Bulk, functional PBE. Values from VASP.

Calculated values
SG ... P4/mmm, No. 123

Quantum ESPRESSO input file:
```
&SYSTEM
  ibrav = 0, nat = 5, ntyp = 4
/
ATOMIC_SPECIES
La 138.91 La.upf
H 1.01 H.upf
S 32.06 S.upf
Cl 35.45 Cl.upf
CELL_PARAMETERS angstrom
5.605 0.000 0.000
0.000 5.605 0.000
0.000 0.000 5.739
ATOMIC_POSITIONS angstrom
La 0.000 0.000 0.000
H 2.802 2.802 2.870
S 0.000 0.000 2.870
Cl 0.000 2.802 0.000
Cl 2.802 0.000 0.000
```

=====

Run 2
LaHSCl2 after structural relaxation. Source: Alexandria via LeMat-Bulk, functional PBE. Values from VASP.

Calculated values
SG ... P4/mmm, No. 123

Quantum ESPRESSO input file:
```
&SYSTEM
  ibrav = 0, nat = 5, ntyp = 4
/
ATOMIC_SPECIES
La 138.91 La.upf
H 1.01 H.upf
S 32.06 S.upf
Cl 35.45 Cl.upf
CELL_PARAMETERS angstrom
4.677 0.000 0.000
0.000 4.677 0.000
0.000 0.000 4.128
ATOMIC_POSITIONS angstrom
La 0.000 0.000 0.000
H 2.338 2.338 2.064
S 2.338 2.338 0.000
Cl 0.000 2.338 2.064
Cl 2.338 0.000 2.064
```

=====

Most stable of them? run 2.

=====

Run 1
LaHS2Cl after structural relaxation. Source: Alexandria via LeMat-Bulk, functional PBE. Values from VASP.

Calculated values
SG ... P4/mmm, No. 123

Quantum ESPRESSO input file:
```
&SYSTEM
  ibrav = 0, nat = 5, ntyp = 4
/
ATOMIC_SPECIES
La 138.91 La.upf
H 1.01 H.upf
S 32.06 S.upf
Cl 35.45 Cl.upf
CELL_PARAMETERS angstrom
4.165 0.000 0.000
0.000 4.165 0.000
0.000 0.000 4.976
ATOMIC_POSITIONS angstrom
La 0.000 0.000 0.000
H 2.083 2.083 2.488
S 0.000 2.083 2.488
S 2.083 0.000 2.488
Cl 2.083 2.083 0.000
```

=====

Run 2
LaHS2Cl after structural relaxation. Source: Alexandria via LeMat-Bulk, functional PBE. Values from VASP.

Calculated values
SG ... P4/mmm, No. 123

Quantum ESPRESSO input file:
```
&SYSTEM
  ibrav = 0, nat = 5, ntyp = 4
/
ATOMIC_SPECIES
La 138.91 La.upf
H 1.01 H.upf
S 32.06 S.upf
Cl 35.45 Cl.upf
CELL_PARAMETERS angstrom
5.718 0.000 0.000
0.000 5.718 0.000
0.000 0.000 5.620
ATOMIC_POSITIONS angstrom
La 0.000 0.000 0.000
H 2.859 2.859 2.810
S 0.000 2.859 0.000
S 2.859 0.000 0.000
Cl 0.000 0.000 2.810
```

=====

Most stable of them? run 1.

=====

Run 1
Li2HCl after structural relaxation. Source: Alexandria via LeMat-Bulk, functional PBE. Values from VASP.

Calculated values
SG ... Pm, No. 6

Quantum ESPRESSO input file:
```
&SYSTEM
  ibrav = 0, nat = 4, ntyp = 3
/
ATOMIC_SPECIES
Li 6.94 Li.upf
H 1.01 H.upf
Cl 35.45 Cl.upf
CELL_PARAMETERS angstrom
3.415 0.000 0.000
0.000 3.390 0.000
-0.019 0.000 5.209
ATOMIC_POSITIONS angstrom
Li 0.000 0.000 0.000
Li 0.009 1.695 2.670
H -0.005 0.000 3.407
Cl 1.710 1.695 0.829
```

=====

Run 2
Li2HCl after structural relaxation. Source: Alexandria via LeMat-Bulk, functional PBE. Values from VASP.

Calculated values
SG ... P3m1, No. 156

Quantum ESPRESSO input file:
```
&SYSTEM
  ibrav = 0, nat = 4, ntyp = 3
/
ATOMIC_SPECIES
Li 6.94 Li.upf
H 1.01 H.upf
Cl 35.45 Cl.upf
CELL_PARAMETERS angstrom
3.493 0.000 0.000
-1.747 3.025 0.000
0.000 0.000 5.555
ATOMIC_POSITIONS angstrom
Li 0.000 0.000 0.000
Li 0.000 2.017 2.566
H 0.000 0.000 1.805
Cl 1.747 1.008 4.361
```

=====

Run 3
Li2HCl after structural relaxation. Source: Alexandria via LeMat-Bulk, functional PBE. Values from VASP.

Calculated values
SG ... P-4m2, No. 115

Quantum ESPRESSO input file:
```
&SYSTEM
  ibrav = 0, nat = 4, ntyp = 3
/
ATOMIC_SPECIES
Li 6.94 Li.upf
H 1.01 H.upf
Cl 35.45 Cl.upf
CELL_PARAMETERS angstrom
3.671 0.000 0.000
0.000 3.671 0.000
0.000 0.000 4.516
ATOMIC_POSITIONS angstrom
Li 0.000 1.835 0.811
Li 1.835 0.000 3.705
H 1.835 1.835 0.000
Cl 0.000 0.000 2.258
```

=====

Most stable of them? run 3.

=====

Run 1
LiHCl3 after structural relaxation. Source: Alexandria via LeMat-Bulk, functional PBE. Values from VASP.

Calculated values
SG ... P2_1/m, No. 11

Quantum ESPRESSO input file:
```
&SYSTEM
  ibrav = 0, nat = 10, ntyp = 3
/
ATOMIC_SPECIES
Li 6.94 Li.upf
H 1.01 H.upf
Cl 35.45 Cl.upf
CELL_PARAMETERS angstrom
4.180 0.000 0.000
0.000 8.571 0.000
-0.407 0.000 6.797
ATOMIC_POSITIONS angstrom
Li 0.589 2.143 0.567
Li 3.184 6.429 6.230
H 0.345 6.429 4.335
H 3.428 2.143 2.461
Cl 0.294 4.882 4.578
Cl 0.294 7.975 4.578
Cl 1.518 6.429 0.407
Cl 2.255 2.143 6.390
Cl 3.479 0.597 2.219
Cl 3.479 3.689 2.219
```

=====

Run 2
LiHCl3 after structural relaxation. Source: Alexandria via LeMat-Bulk, functional PBE. Values from VASP.

Calculated values
SG ... Pm-3m, No. 221

Quantum ESPRESSO input file:
```
&SYSTEM
  ibrav = 0, nat = 5, ntyp = 3
/
ATOMIC_SPECIES
Li 6.94 Li.upf
H 1.01 H.upf
Cl 35.45 Cl.upf
CELL_PARAMETERS angstrom
4.858 0.000 0.000
0.000 4.858 0.000
0.000 0.000 4.858
ATOMIC_POSITIONS angstrom
Li 0.000 0.000 0.000
H 2.429 2.429 2.429
Cl 0.000 0.000 2.429
Cl 0.000 2.429 0.000
Cl 2.429 0.000 0.000
```

=====

Most stable of them? run 1.